First-principles (PBE) data for a relaxed La2NdEr crystal, as listed in the Alexandria database.

The density of states at the Fermi level is 5.38 states/eV/f.u. Its distance to the lowest polymorph of the same formula is 0.00 eV per formula unit. The formation energy is 0.014 eV/atom.

The structure belongs to space group R-3m (No. 166, hexagonal axes); the cell edges are 3.6826, 3.6826 and 35.5638 Å and the angles 90.00°, 90.00° and 120.00°. The inequivalent atoms are La at (0.0000, 0.0000, 0.2481), Nd at (0.0000, 0.0000, 0.0000) and Er at (0.0000, 0.0000, 0.5000).